(1)
VASP calculation (GGA-PBE) on a geometry-optimized CoCuGeS3 structure.

a b c (Å): 6.9708 6.9708 8.7398
angles (deg): 90.00 90.00 151.63
Atoms (fractional coordinates):
Co 0.0000 0.0000 0.5000
S 0.3896 0.6104 0.9730
Ge 0.6734 0.3266 0.7500
Cu 0.3140 0.6860 0.7500
S 0.0478 0.9522 0.7500
S 0.6104 0.3896 0.0270
S 0.6104 0.3896 0.4730
Co 0.0000 0.0000 0.0000
Ge 0.3266 0.6734 0.2500
Cu 0.6860 0.3140 0.2500
S 0.9522 0.0478 0.2500
S 0.3896 0.6104 0.5270

Summary:
Its electronic total energy is -4.881 eV/atom. The crystal system is orthorhombic. As for the theoretical density: 4.80 Mg/m³. The value obtained for the spin magnetization is 0.000 μB per formula unit. The space group is Cmcm.

=====

(2)
VASP calculation (GGA-PBE) on a geometry-optimized LiHoZnS3 structure.

a b c (Å): 6.4261 6.4261 10.5053
angles (deg): 90.00 90.00 34.56
Atoms (fractional coordinates):
Ho 0.0000 0.0000 0.0000
S 0.9097 0.9097 0.7500
Li 0.2374 0.2374 0.7500
S 0.3591 0.3591 0.0775
S 0.6409 0.6409 0.9225
Zn 0.5262 0.5262 0.7500
Zn 0.4738 0.4738 0.2500
S 0.6409 0.6409 0.5775
Ho 0.0000 0.0000 0.5000
S 0.3591 0.3591 0.4225
Li 0.7626 0.7626 0.2500
S 0.0903 0.0903 0.2500

Summary:
Its electronic total energy is -4.729 eV/atom. The crystal system is orthorhombic. As for the theoretical density: 4.50 Mg/m³. The value obtained for the spin magnetization is 0.008 μB per formula unit. The space group is Cmcm. The energy above the most stable polymorph in this dataset is 0.13 eV/f.u.

=====

(3)
VASP calculation (GGA-PBE) on a geometry-optimized LiCuB4 structure.

a b c (Å): 4.4634 4.4634 4.4634
angles (deg): 141.24 109.00 83.95
Atoms (fractional coordinates):
B 0.0889 0.7536 0.3353
B 0.4184 0.7536 0.6647
B 0.9111 0.2464 0.6647
Li 0.5000 0.5000 0.0000
Cu 0.0000 0.0000 0.0000
B 0.5816 0.2464 0.3353

Summary:
Its electronic total energy is -5.256 eV/atom. The crystal system is orthorhombic. As for the theoretical density: 3.71 Mg/m³. The space group is Immm. The energy above the most stable polymorph in this dataset is 0.02 eV/f.u.

=====

(4)
VASP calculation (GGA-PBE) on a geometry-optimized Na2ZnGaF7 structure.

a b c (Å): 10.0832 7.0014 7.1874
angles (deg): 90.00 90.00 90.00
Atoms (fractional coordinates):
F 0.1581 0.4616 0.1594
F 0.8419 0.9616 0.8406
F 0.1508 0.7500 0.4854
F 0.1581 0.0384 0.1594
F 0.6128 0.9417 0.7204
Na 0.7697 0.7500 0.2598
F 0.3341 0.7500 0.9540
F 0.3872 0.4417 0.2796
Zn 0.5000 0.0000 0.5000
Na 0.0000 0.5000 0.5000
F 0.9922 0.7500 0.1250
Na 0.2697 0.7500 0.2402
F 0.8872 0.0583 0.2204
F 0.1128 0.9417 0.7796
Na 0.5000 0.0000 0.0000
F 0.8419 0.5384 0.8406
F 0.3419 0.5384 0.6594
Na 0.0000 0.0000 0.5000
F 0.1128 0.5583 0.7796
F 0.6659 0.2500 0.0460
Ga 0.2383 0.7500 0.7246
F 0.8492 0.2500 0.5146
F 0.3419 0.9616 0.6594
F 0.6581 0.0384 0.3406
Na 0.5000 0.5000 0.0000
F 0.3872 0.0583 0.2796
F 0.8341 0.7500 0.5460
F 0.0078 0.2500 0.8750
F 0.3492 0.2500 0.9854
Na 0.7303 0.2500 0.7598
F 0.8872 0.4417 0.2204
F 0.4922 0.7500 0.3750
F 0.6581 0.4616 0.3406
Zn 0.0000 0.5000 0.0000
F 0.6128 0.5583 0.7204
Ga 0.7383 0.7500 0.7754
F 0.6508 0.7500 0.0146
Ga 0.7617 0.2500 0.2754
F 0.5078 0.2500 0.6250
F 0.1659 0.2500 0.4540
Zn 0.0000 0.0000 0.0000
Zn 0.5000 0.5000 0.5000
Ga 0.2617 0.2500 0.2246
Na 0.2303 0.2500 0.7402

Summary:
Its electronic total energy is -4.411 eV/atom. The crystal system is orthorhombic. As for the theoretical density: 4.11 Mg/m³. The space group is Pnma. The energy above the most stable polymorph in this dataset is 0.24 eV/f.u.

=====

(5)
VASP calculation (GGA-PBE) on a geometry-optimized SrTmAgS3 structure.

a b c (Å): 6.9454 6.9454 10.2278
angles (deg): 90.00 90.00 33.61
Atoms (fractional coordinates):
Tm 0.0000 0.0000 0.0000
Ag 0.4711 0.4711 0.7500
S 0.9128 0.9128 0.2500
S 0.3625 0.3625 0.5518
Sr 0.7512 0.7512 0.7500
Ag 0.5289 0.5289 0.2500
S 0.3625 0.3625 0.9482
S 0.0872 0.0872 0.7500
S 0.6375 0.6375 0.0518
Tm 0.0000 0.0000 0.5000
S 0.6375 0.6375 0.4482
Sr 0.2488 0.2488 0.2500

Summary:
Its electronic total energy is -5.146 eV/atom. The crystal system is orthorhombic. As for the theoretical density: 5.60 Mg/m³. The value obtained for the spin magnetization is 0.003 μB per formula unit. The space group is Cmcm. The energy above the most stable polymorph in this dataset is 0.16 eV/f.u.

=====

(6)
VASP calculation (GGA-PBE) on a geometry-optimized SiAsOsAu structure.

a b c (Å): 4.5200 4.5200 4.5200
angles (deg): 60.00 60.00 60.00
Atoms (fractional coordinates):
Si 0.2500 0.2500 0.2500
As 0.5000 0.5000 0.5000
Os 0.0000 0.0000 0.0000
Au 0.7500 0.7500 0.7500

Summary:
Its electronic total energy is -5.411 eV/atom. The crystal system is cubic. As for the theoretical density: 12.47 Mg/m³. The value obtained for the spin magnetization is 0.002 μB per formula unit. The space group is F-43m. The energy above the most stable polymorph in this dataset is 0.76 eV/f.u.

=====

(7)
VASP calculation (GGA-PBE) on a geometry-optimized KFeB structure.

a b c (Å): 4.8081 4.8081 4.8081
angles (deg): 60.00 60.00 60.00
Atoms (fractional coordinates):
K 0.0000 0.0000 0.0000
Fe 0.7500 0.7500 0.7500
B 0.2500 0.2500 0.2500

Summary:
Its electronic total energy is -2.827 eV/atom. The crystal system is cubic. As for the theoretical density: 2.23 Mg/m³. The value obtained for the spin magnetization is 2.683 μB per formula unit. The space group is F-43m. The energy above the most stable polymorph in this dataset is 2.28 eV/f.u.

=====

(8)
VASP calculation (GGA-PBE) on a geometry-optimized DyPd4Pb3 structure.

a b c (Å): 5.8050 4.4391 6.5946
angles (deg): 90.00 90.62 90.00
Atoms (fractional coordinates):
Pd 0.6628 0.0000 0.9622
Pb 0.8676 0.5000 0.1755
Pd 0.3479 0.5000 0.0393
Pd 0.1523 0.5000 0.5380
Pd 0.8394 0.0000 0.4714
Dy 0.3620 0.0000 0.3212
Pb 0.1453 0.0000 0.8238
Pb 0.6228 0.5000 0.6684

Summary:
Its electronic total energy is -5.012 eV/atom. The crystal system is monoclinic. As for the theoretical density: 11.82 Mg/m³. The value obtained for the spin magnetization is 0.001 μB per formula unit. The space group is Pm.

=====

Copy entry 6 word for word.
VASP calculation (GGA-PBE) on a geometry-optimized SiAsOsAu structure.

a b c (Å): 4.5200 4.5200 4.5200
angles (deg): 60.00 60.00 60.00
Atoms (fractional coordinates):
Si 0.2500 0.2500 0.2500
As 0.5000 0.5000 0.5000
Os 0.0000 0.0000 0.0000
Au 0.7500 0.7500 0.7500

Summary:
Its electronic total energy is -5.411 eV/atom. The crystal system is cubic. As for the theoretical density: 12.47 Mg/m³. The value obtained for the spin magnetization is 0.002 μB per formula unit. The space group is F-43m. The energy above the most stable polymorph in this dataset is 0.76 eV/f.u.

=====

Look up the electronic total energy of the first one.
-4.881 eV/atom